No. 1
First-principles (PBE-GGA) data for a relaxed Pm7SiPb2 crystal, as listed in Alexandria via LeMat-Bulk.

## Properties
Total energy, eV per atom: -4.4387
DOS at the Fermi energy, states/eV/cell: 10.0
Symmetry: Fm-3m, No. 225

Cell and atoms, written as POSCAR:
```
Pm7SiPb2
1.0
0.000 5.544 5.544
5.544 0.000 5.544
5.544 5.544 0.000
Pm Si Pb
7 1 2
direct
0.000 0.000 0.000 Pm
0.255 0.255 0.745 Pm
0.255 0.745 0.255 Pm
0.255 0.745 0.745 Pm
0.745 0.255 0.255 Pm
0.745 0.255 0.745 Pm
0.745 0.745 0.255 Pm
0.500 0.500 0.500 Si
0.250 0.250 0.250 Pb
0.750 0.750 0.750 Pb
```

***

No. 2
First-principles (PBE-GGA) data for a relaxed AlGaSeN2 crystal, as listed in Alexandria via LeMat-Bulk.

## Properties
DOS at the Fermi energy, states/eV/cell: 2.9
Symmetry: P4/mmm, No. 123
Energy relative to the lowest polymorph listed for this composition, eV/atom: 0.0000

Cell and atoms, written as POSCAR:
```
AlGaSeN2
1.0
3.702 0.000 0.000
0.000 3.702 0.000
0.000 0.000 5.775
Al Ga Se N
1 1 1 2
direct
0.000 0.000 0.000 Al
0.500 0.500 0.500 Ga
0.000 0.000 0.500 Se
0.000 0.500 0.000 N
0.500 0.000 0.000 N
```

***

No. 3
First-principles (PBE-GGA) data for a relaxed Pr7Nd4Sc crystal, as listed in Alexandria via LeMat-Bulk.

## Properties
DOS at the Fermi energy, states/eV/cell: 21.1
Symmetry: C2/m, No. 12
Energy relative to the lowest polymorph listed for this composition, eV/atom: 0.1846

Cell and atoms, written as POSCAR:
```
Pr7Nd4Sc
1.0
8.273 -3.037 0.000
8.273 3.037 0.000
-4.244 0.000 8.503
Pr Nd Sc
7 4 1
direct
0.000 0.000 0.000 Pr
0.220 0.220 0.880 Pr
0.334 0.334 0.613 Pr
0.427 0.427 0.288 Pr
0.573 0.573 0.712 Pr
0.666 0.666 0.387 Pr
0.780 0.780 0.120 Pr
0.085 0.085 0.449 Nd
0.209 0.209 0.228 Nd
0.791 0.791 0.772 Nd
0.915 0.915 0.551 Nd
0.500 0.500 0.000 Sc
```

***

No. 4
First-principles (PBE-GGA) data for a relaxed La2Nd3Mg3 crystal, as listed in Alexandria via LeMat-Bulk.

## Properties
Total energy, eV per atom: -3.6766
DOS at the Fermi energy, states/eV/cell: 21.9
Symmetry: Immm, No. 71

Cell and atoms, written as POSCAR:
```
La2Nd3Mg3
1.0
3.928 0.000 0.000
0.000 5.598 0.000
0.000 0.000 23.089
La Nd Mg
4 6 6
direct
0.000 0.000 0.235 La
0.000 0.000 0.765 La
0.500 0.500 0.265 La
0.500 0.500 0.735 La
0.000 0.000 0.000 Nd
0.000 0.500 0.121 Nd
0.000 0.500 0.879 Nd
0.500 0.000 0.379 Nd
0.500 0.000 0.621 Nd
0.500 0.500 0.500 Nd
0.000 0.000 0.500 Mg
0.000 0.500 0.385 Mg
0.000 0.500 0.615 Mg
0.500 0.000 0.115 Mg
0.500 0.000 0.885 Mg
0.500 0.500 0.000 Mg
```

***

No. 5
First-principles (PBE-GGA) data for a relaxed CsRe2NiN crystal, as listed in Alexandria via LeMat-Bulk.

## Properties
Total energy, eV per atom: -3.2917
DOS at the Fermi energy, states/eV/cell: 9.3
Symmetry: P4/mmm, No. 123

Cell and atoms, written as POSCAR:
```
CsRe2NiN
1.0
4.981 0.000 0.000
0.000 4.981 0.000
0.000 0.000 4.586
Cs Re Ni N
1 2 1 1
direct
0.000 0.000 0.000 Cs
0.000 0.500 0.000 Re
0.500 0.000 0.000 Re
0.000 0.000 0.500 Ni
0.500 0.500 0.500 N
```

***

No. 6
First-principles (PBE-GGA) data for a relaxed Nd3ThTe6 crystal, as listed in Alexandria via LeMat-Bulk.

## Properties
DOS at the Fermi energy, states/eV/cell: 5.6
Symmetry: P2_1/m, No. 11
Energy relative to the lowest polymorph listed for this composition, eV/atom: 0.0000

Cell and atoms, written as POSCAR:
```
Nd3ThTe6
1.0
12.717 0.000 0.000
0.000 4.425 0.000
-4.083 0.000 12.428
Nd Th Te
6 2 12
direct
0.081 0.250 0.164 Nd
0.179 0.750 0.504 Nd
0.345 0.250 0.927 Nd
0.655 0.750 0.073 Nd
0.821 0.250 0.496 Nd
0.919 0.750 0.836 Nd
0.456 0.250 0.304 Th
0.544 0.750 0.696 Th
0.015 0.250 0.377 Te
0.102 0.250 0.929 Te
0.256 0.750 0.286 Te
0.311 0.750 0.749 Te
0.389 0.250 0.534 Te
0.417 0.750 0.107 Te
0.583 0.250 0.893 Te
0.611 0.750 0.466 Te
0.689 0.250 0.251 Te
0.744 0.250 0.714 Te
0.898 0.750 0.071 Te
0.985 0.750 0.623 Te
```

***

no.,ρ (g cm⁻³),total magnetic moment (μB/f.u.)
1,7.102,0.001
2,4.274,0.893
3,6.249,0.095
4,5.125,0.000
5,8.436,3.257
6,6.792,0.000